(1)
First-principles (PBE) data for crystalline TbZn2Pd at its relaxed geometry, as listed in Alexandria via LeMat-Bulk.

Lattice parameters (Å, degrees): 5.037 5.037 5.037 52.50 52.50 52.50
Element x y z (fractional)
1 Tb 0.000 0.000 0.000
2 Zn 0.226 0.226 0.226
3 Zn 0.774 0.774 0.774
4 Pd 0.500 0.500 0.500

Values from the calculation:
E_form   -0.477 eV/atom
DOS(E_F)   0.488 states/eV/atom
Space-group type   R-3m
Crystal system   trigonal
Spin magnetization   0.00 μB/f.u.

(2)
First-principles (PBE) data for crystalline TbZn12Pd4 at its relaxed geometry, as listed in Alexandria via LeMat-Bulk.

Lattice parameters (Å, degrees): 7.524 7.524 7.524 109.47 109.47 109.47
Element x y z (fractional)
1 Tb 0.000 0.000 0.000
2 Zn 0.150 0.501 0.351
3 Zn 0.150 0.799 0.649
4 Zn 0.201 0.351 0.850
5 Zn 0.351 0.150 0.501
6 Zn 0.351 0.850 0.201
7 Zn 0.499 0.649 0.850
8 Zn 0.501 0.351 0.150
9 Zn 0.649 0.150 0.799
10 Zn 0.649 0.850 0.499
11 Zn 0.799 0.649 0.150
12 Zn 0.850 0.201 0.351
13 Zn 0.850 0.499 0.649
14 Pd 0.000 0.000 0.500
15 Pd 0.000 0.500 0.000
16 Pd 0.500 0.000 0.000
17 Pd 0.500 0.500 0.500

Values from the calculation:
E_form   -0.025 eV/atom
DOS(E_F)   0.572 states/eV/atom
Space-group type   Im-3
Crystal system   cubic
Spin magnetization   0.00 μB/f.u.

(3)
First-principles (PBE) data for crystalline Tb4ZnPd2 at its relaxed geometry, as listed in Alexandria via LeMat-Bulk.

Lattice parameters (Å, degrees): 9.424 9.424 9.424 29.64 29.64 29.64
Element x y z (fractional)
1 Tb 0.121 0.121 0.121
2 Tb 0.294 0.294 0.294
3 Tb 0.706 0.706 0.706
4 Tb 0.879 0.879 0.879
5 Zn 0.500 0.500 0.500
6 Pd 0.404 0.404 0.404
7 Pd 0.596 0.596 0.596

Values from the calculation:
E_form   -0.476 eV/atom
DOS(E_F)   0.929 states/eV/atom
Distance to the lowest polymorph of the same formula   46 meV per atom
Space-group type   R-3m
Crystal system   trigonal
Spin magnetization   0.00 μB/f.u.

> Which value of E_form does entry 2 give?

-0.025 eV/atom

> What is the spin magnetization in the third record?

0.00 μB/f.u.

> What is the spin magnetization in the first record?

0.00 μB/f.u.

> Number 2 is which compound?

TbZn12Pd4